Compound: Tl3CdCo2F9
Source: the Alexandria database
Functional: PBE+U
Structure: optimized geometry

As for the energy: -63.7 eV/cell.

The structure belongs to space group P-3m1 (No. 164); the cell edges are 6.0511, 6.0511 and 7.4120 Å and the angles 90.00°, 90.00° and 120.00°. Symmetry generates all atoms from Tl at (0.0000, 0.0000, 0.0000), Tl at (0.3333, 0.6667, 0.6677), Cd at (0.0000, 0.0000, 0.5000), Co at (0.3333, 0.6667, 0.1537), F at (0.0000, 0.5000, 0.0000) and F at (0.1743, 0.3486, 0.3194).